# In6GaS8, relaxed, DFT PBE
# - Formation energy (no corrections): -0.28 eV/atom
# - DOS at the Fermi energy: 22.6 states/eV per cell
# - Magnetization: 0.00 μB/f.u.
# - Mass density: 3.9 g/cm³
data_In6GaS8
_chemical_formula_sum 'In18 Ga3 S24'
_space_group_name_H-M_alt 'R -3'
_space_group_IT_number 148
_space_group_name_Hall '-R 3'
_cell_length_a 11.1994
_cell_length_b 11.1994
_cell_length_c 12.0332
_cell_angle_alpha 90.00
_cell_angle_beta 90.00
_cell_angle_gamma 120.00
loop_
_atom_site_label
_atom_site_type_symbol
_atom_site_fract_x
_atom_site_fract_y
_atom_site_fract_z
In1 In 0.0013 0.1953 0.1343
Ga1 Ga 0.0000 0.0000 0.5000
S1 S 0.0000 0.0000 0.2571
S2 S 0.0169 0.7364 0.0793